# 1
Entry from the Alexandria database: KCdSnW2 at its PBEsol-relaxed geometry (SCAN).

## Properties
The calculation puts the density of states at the Fermi level at 4.43 states/eV/cell. The value obtained for the magnetization is 0.000 μB per atom. The formation energy comes out at 3.37 eV/atom. The space group is P4/mmm.

Cell: 4.594 4.594 5.317 Å, 90.00 90.00 90.00°
Sites, in units of the cell vectors:
Sn 0.000 0.000 0.500
K 0.000 0.000 0.000
W 0.500 0.000 0.000
Cd 0.500 0.500 0.500
W 0.000 0.500 0.000

=====

# 2
Entry from the Alexandria database: Zn3P2O8 at its PBEsol-relaxed geometry (SCAN).

## Properties
The calculation puts the density of states at the Fermi level at 0.00 states/eV/cell. The value obtained for the magnetization is 0.000 μB per atom. As for the polymorph energy (0 for the lowest one): 0.165 kcal/mol of atoms. The space group is P2_1/c.

Cell: 4.901 6.445 9.210 Å, 90.00 90.00 89.72°
Sites, in units of the cell vectors:
O 0.409 0.302 0.342
P 0.502 0.339 0.184
O 0.434 0.150 0.086
Zn 0.010 0.340 0.370
Zn 0.510 0.840 0.130
O 0.566 0.850 0.914
O 0.850 0.032 0.379
P 0.998 0.161 0.684
O 0.350 0.532 0.121
O 0.591 0.698 0.658
O 0.066 0.350 0.586
Zn 0.500 0.000 0.500
O 0.316 0.874 0.321
O 0.150 0.968 0.621
Zn 0.990 0.660 0.630
Zn 0.490 0.160 0.870
P 0.002 0.839 0.316
P 0.498 0.661 0.816
Zn 0.000 0.500 0.000
O 0.650 0.468 0.879
O 0.909 0.802 0.158
O 0.684 0.126 0.679
O 0.934 0.650 0.414
O 0.091 0.198 0.842
O 0.184 0.626 0.821
O 0.816 0.374 0.179

=====

# 3
Entry from the Alexandria database: AlCuS2N at its PBEsol-relaxed geometry (SCAN).

## Properties
As for the total energy: -49.570 eV/cell. The calculation puts the density of states at the Fermi level at 2.31 states/eV/cell. The value obtained for the magnetization is 0.561 μB per atom. The space group is P4/mmm.

Cell: 3.587 4.664 4.664 Å, 90.00 90.00 90.00°
Last column: magnetic moment on the atom in μB.
Sites, in units of the cell vectors:
S 0.000 0.000 0.500  0.38
N 0.500 0.000 0.000  1.07
Al 0.000 0.000 0.000  -0.03
S 0.000 0.500 0.000  0.38
Cu 0.500 0.500 0.500  0.24

=====

# 4
Entry from the Alexandria database: La2YCd at its PBEsol-relaxed geometry (SCAN).

## Properties
The calculation puts the density of states at the Fermi level at 3.70 states/eV/cell. The value obtained for the magnetization is 0.294 μB per atom. The formation energy comes out at -0.18 eV/atom. The space group is P4/mmm.

Cell: 3.723 3.723 8.956 Å, 90.00 90.00 90.00°
Last column: magnetic moment on the atom in μB.
Sites, in units of the cell vectors:
La 0.000 0.000 0.727  0.16
Cd 0.500 0.500 0.500  -0.02
Y 0.500 0.500 0.000  0.36
La 0.000 0.000 0.273  0.16

=====

# 5
Entry from the Alexandria database: MgSc2In at its PBEsol-relaxed geometry (SCAN).

## Properties
The calculation puts the density of states at the Fermi level at 3.28 states/eV/cell. The value obtained for the magnetization is 0.000 μB per atom. As for the polymorph energy (0 for the lowest one): 4.219 kcal/mol of atoms. The formation energy comes out at -0.21 eV/atom. The space group is Pmm2.

Cell: 3.225 4.485 6.219 Å, 90.00 90.00 90.00°
Sites, in units of the cell vectors:
In 0.000 0.000 0.490
Mg 0.500 0.500 0.756
Sc 0.000 0.000 0.000
Sc 0.500 0.500 0.254

=====

# 6
Entry from the Alexandria database: CrCuSe2 at its PBEsol-relaxed geometry (SCAN).

## Properties
The calculation puts the density of states at the Fermi level at 0.03 states/eV/cell. The value obtained for the magnetization is 0.750 μB per atom. As for the polymorph energy (0 for the lowest one): 0.000 kcal/mol of atoms. The space group is R3m.

Cell: 3.680 3.680 6.604 Å, 73.82 73.82 60.00°
Last column: magnetic moment on the atom in μB.
Sites, in units of the cell vectors:
Cu 0.860 0.860 0.420  0.00
Se 0.737 0.737 0.789  -0.10
Se 0.257 0.257 0.230  -0.04
Cr 0.002 0.002 0.993  3.00